First-principles (GGA-PBE) data for a relaxed structure of AlTl2Ir, as listed in Alexandria via LeMat-Bulk.

Cell lengths 9.8120, 9.8120, 9.8120 Å; angles 19.03, 19.03, 19.03 degrees
Closest atoms and distances in Å follow each position.
Sites, in units of the cell vectors:
1 Al 0.0000 0.0000 0.0000  3 Ir 2.48
2 Tl 0.2439 0.2439 0.2439  3 Al 3.19, 6 Tl 3.24
3 Tl 0.4691 0.4691 0.4691  3 Ir 2.96, 6 Tl 3.24
4 Ir 0.7232 0.7232 0.7232  3 Al 2.48

Computed properties:
**Spin magnetization**: 0.00 μB/f.u.
**Uncorrected energy**: -16.9 eV per formula unit
**V**: 88 Å³/cell